#w
# GdCuPbS3 (PBE, optimized geometry)
# **Spin magnetization**: 0.00 μB per formula unit
data_GdCuPbS3
_space_group_name_H-M_alt 'P 1'
_space_group_IT_number 1
_space_group_name_Hall 'P 1'
_cell_length_a 10.379
_cell_length_b 3.949
_cell_length_c 12.957
_cell_angle_alpha 90.00
_cell_angle_beta 90.00
_cell_angle_gamma 90.00
loop_
_atom_site_label
_atom_site_type_symbol
_atom_site_fract_x
_atom_site_fract_y
_atom_site_fract_z
Gd1 Gd 0.018 0.250 0.239
Gd2 Gd 0.482 0.750 0.739
Gd3 Gd 0.518 0.250 0.261
Gd4 Gd 0.982 0.750 0.761
Cu1 Cu 0.235 0.250 0.719
Cu2 Cu 0.265 0.750 0.219
Cu3 Cu 0.735 0.250 0.781
Cu4 Cu 0.765 0.750 0.281
Pb1 Pb 0.219 0.750 0.501
Pb2 Pb 0.281 0.250 0.001
Pb3 Pb 0.719 0.750 0.999
Pb4 Pb 0.781 0.250 0.499
S1 S 0.048 0.250 0.618
S2 S 0.093 0.750 0.105
S3 S 0.237 0.750 0.826
S4 S 0.263 0.250 0.326
S5 S 0.407 0.250 0.605
S6 S 0.452 0.750 0.118
S7 S 0.548 0.250 0.882
S8 S 0.593 0.750 0.395
S9 S 0.737 0.750 0.674
S10 S 0.763 0.250 0.174
S11 S 0.907 0.250 0.895
S12 S 0.952 0.750 0.382

=====

#x
# GdCuPbS3 (PBE, optimized geometry)
# **Spin magnetization**: 0.00 μB per formula unit
data_GdCuPbS3
_space_group_name_H-M_alt 'P 1'
_space_group_IT_number 1
_space_group_name_Hall 'P 1'
_cell_length_a 8.043
_cell_length_b 4.082
_cell_length_c 15.490
_cell_angle_alpha 90.00
_cell_angle_beta 90.00
_cell_angle_gamma 90.00
loop_
_atom_site_label
_atom_site_type_symbol
_atom_site_fract_x
_atom_site_fract_y
_atom_site_fract_z
Gd1 Gd 0.245 0.250 0.039
Gd2 Gd 0.255 0.750 0.539
Gd3 Gd 0.745 0.250 0.461
Gd4 Gd 0.755 0.750 0.961
Cu1 Cu 0.125 0.750 0.870
Cu2 Cu 0.375 0.250 0.370
Cu3 Cu 0.625 0.750 0.630
Cu4 Cu 0.875 0.250 0.130
Pb1 Pb 0.085 0.750 0.283
Pb2 Pb 0.415 0.250 0.783
Pb3 Pb 0.585 0.750 0.217
Pb4 Pb 0.915 0.250 0.717
S1 S 0.012 0.750 0.095
S2 S 0.124 0.250 0.443
S3 S 0.183 0.750 0.716
S4 S 0.317 0.250 0.216
S5 S 0.376 0.750 0.943
S6 S 0.488 0.250 0.595
S7 S 0.512 0.750 0.405
S8 S 0.624 0.250 0.057
S9 S 0.683 0.750 0.784
S10 S 0.817 0.250 0.284
S11 S 0.876 0.750 0.557
S12 S 0.988 0.250 0.905

=====

Calculated relative energies: #w 0.0; #x 3.4, given in kJ/mol of atoms

=====

#w
# GdCuTe3Pb (PBE, optimized geometry)
# **Spin magnetization**: 0.00 μB per formula unit
data_GdCuTe3Pb
_space_group_name_H-M_alt 'P 1'
_space_group_IT_number 1
_space_group_name_Hall 'P 1'
_cell_length_a 8.942
_cell_length_b 4.483
_cell_length_c 17.370
_cell_angle_alpha 90.00
_cell_angle_beta 90.00
_cell_angle_gamma 90.00
loop_
_atom_site_label
_atom_site_type_symbol
_atom_site_fract_x
_atom_site_fract_y
_atom_site_fract_z
Gd1 Gd 0.242 0.250 0.038
Gd2 Gd 0.258 0.750 0.538
Gd3 Gd 0.742 0.250 0.462
Gd4 Gd 0.758 0.750 0.962
Cu1 Cu 0.129 0.750 0.870
Cu2 Cu 0.371 0.250 0.370
Cu3 Cu 0.629 0.750 0.630
Cu4 Cu 0.871 0.250 0.130
Te1 Te 0.014 0.750 0.097
Te2 Te 0.114 0.250 0.439
Te3 Te 0.187 0.750 0.717
Te4 Te 0.313 0.250 0.217
Te5 Te 0.386 0.750 0.939
Te6 Te 0.486 0.250 0.597
Te7 Te 0.514 0.750 0.403
Te8 Te 0.614 0.250 0.061
Te9 Te 0.687 0.750 0.783
Te10 Te 0.813 0.250 0.283
Te11 Te 0.886 0.750 0.561
Te12 Te 0.986 0.250 0.903
Pb1 Pb 0.081 0.750 0.283
Pb2 Pb 0.419 0.250 0.783
Pb3 Pb 0.581 0.750 0.217
Pb4 Pb 0.919 0.250 0.717

=====

#x
# GdCuTe3Pb (PBE, optimized geometry)
# **Spin magnetization**: 0.00 μB per formula unit
data_GdCuTe3Pb
_space_group_name_H-M_alt 'P 1'
_space_group_IT_number 1
_space_group_name_Hall 'P 1'
_cell_length_a 8.393
_cell_length_b 4.301
_cell_length_c 10.624
_cell_angle_alpha 90.00
_cell_angle_beta 105.80
_cell_angle_gamma 90.00
loop_
_atom_site_label
_atom_site_type_symbol
_atom_site_fract_x
_atom_site_fract_y
_atom_site_fract_z
Gd1 Gd 0.199 0.250 0.167
Gd2 Gd 0.801 0.750 0.833
Cu1 Cu 0.424 0.750 0.413
Cu2 Cu 0.576 0.250 0.587
Te1 Te 0.075 0.250 0.859
Te2 Te 0.247 0.250 0.461
Te3 Te 0.458 0.750 0.170
Te4 Te 0.542 0.250 0.830
Te5 Te 0.753 0.750 0.539
Te6 Te 0.925 0.750 0.141
Pb1 Pb 0.244 0.750 0.698
Pb2 Pb 0.756 0.250 0.302

=====

#y
# GdCuTe3Pb (PBE, optimized geometry)
# **Spin magnetization**: 0.00 μB per formula unit
data_GdCuTe3Pb
_space_group_name_H-M_alt 'P 1'
_space_group_IT_number 1
_space_group_name_Hall 'P 1'
_cell_length_a 7.613
_cell_length_b 7.613
_cell_length_c 11.313
_cell_angle_alpha 90.00
_cell_angle_beta 90.00
_cell_angle_gamma 147.24
loop_
_atom_site_label
_atom_site_type_symbol
_atom_site_fract_x
_atom_site_fract_y
_atom_site_fract_z
Gd1 Gd 0.000 0.000 0.000
Gd2 Gd 0.000 0.000 0.500
Cu1 Cu 0.468 0.532 0.750
Cu2 Cu 0.532 0.468 0.250
Te1 Te 0.082 0.918 0.750
Te2 Te 0.355 0.645 0.566
Te3 Te 0.355 0.645 0.934
Te4 Te 0.645 0.355 0.066
Te5 Te 0.645 0.355 0.434
Te6 Te 0.918 0.082 0.250
Pb1 Pb 0.239 0.761 0.250
Pb2 Pb 0.761 0.239 0.750

=====

#z
# GdCuTe3Pb (PBE, optimized geometry)
# **Spin magnetization**: 0.00 μB per formula unit
data_GdCuTe3Pb
_space_group_name_H-M_alt 'P 1'
_space_group_IT_number 1
_space_group_name_Hall 'P 1'
_cell_length_a 14.714
_cell_length_b 4.311
_cell_length_c 11.688
_cell_angle_alpha 90.00
_cell_angle_beta 90.00
_cell_angle_gamma 90.00
loop_
_atom_site_label
_atom_site_type_symbol
_atom_site_fract_x
_atom_site_fract_y
_atom_site_fract_z
Gd1 Gd 0.011 0.250 0.174
Gd2 Gd 0.489 0.750 0.674
Gd3 Gd 0.511 0.250 0.326
Gd4 Gd 0.989 0.750 0.826
Cu1 Cu 0.008 0.750 0.417
Cu2 Cu 0.492 0.250 0.917
Cu3 Cu 0.508 0.750 0.083
Cu4 Cu 0.992 0.250 0.583
Te1 Te 0.106 0.750 0.612
Te2 Te 0.113 0.250 0.939
Te3 Te 0.144 0.750 0.260
Te4 Te 0.356 0.250 0.760
Te5 Te 0.387 0.750 0.439
Te6 Te 0.394 0.250 0.112
Te7 Te 0.606 0.750 0.888
Te8 Te 0.613 0.250 0.561
Te9 Te 0.644 0.750 0.240
Te10 Te 0.856 0.250 0.740
Te11 Te 0.887 0.750 0.061
Te12 Te 0.894 0.250 0.388
Pb1 Pb 0.216 0.250 0.453
Pb2 Pb 0.284 0.750 0.953
Pb3 Pb 0.716 0.250 0.047
Pb4 Pb 0.784 0.750 0.547

=====

Calculated relative energies: #w 4.4; #x 1.8; #y 0.0; #z 1.0, given in kJ/mol of atoms

=====

#w
# SrGdCuSeS2 (PBE, optimized geometry)
# **Spin magnetization**: 0.00 μB per formula unit
data_SrGdCuSeS2
_space_group_name_H-M_alt 'P 1'
_space_group_IT_number 1
_space_group_name_Hall 'P 1'
_cell_length_a 6.972
_cell_length_b 6.972
_cell_length_c 10.579
_cell_angle_alpha 90.00
_cell_angle_beta 90.00
_cell_angle_gamma 146.81
loop_
_atom_site_label
_atom_site_type_symbol
_atom_site_fract_x
_atom_site_fract_y
_atom_site_fract_z
Sr1 Sr 0.236 0.764 0.750
Sr2 Sr 0.764 0.236 0.250
Gd1 Gd 0.000 0.000 0.000
Gd2 Gd 0.000 0.000 0.500
Cu1 Cu 0.474 0.526 0.250
Cu2 Cu 0.526 0.474 0.750
Se1 Se 0.087 0.913 0.250
Se2 Se 0.913 0.087 0.750
S1 S 0.369 0.631 0.075
S2 S 0.369 0.631 0.425
S3 S 0.631 0.369 0.575
S4 S 0.631 0.369 0.925

=====

#x
# SrGdCuSeS2 (PBE, optimized geometry)
# **Spin magnetization**: 0.00 μB per formula unit
data_SrGdCuSeS2
_space_group_name_H-M_alt 'P 1'
_space_group_IT_number 1
_space_group_name_Hall 'P 1'
_cell_length_a 10.367
_cell_length_b 4.013
_cell_length_c 13.226
_cell_angle_alpha 90.00
_cell_angle_beta 90.00
_cell_angle_gamma 90.00
loop_
_atom_site_label
_atom_site_type_symbol
_atom_site_fract_x
_atom_site_fract_y
_atom_site_fract_z
Sr1 Sr 0.226 0.250 0.005
Sr2 Sr 0.274 0.750 0.505
Sr3 Sr 0.726 0.250 0.495
Sr4 Sr 0.774 0.750 0.995
Gd1 Gd 0.011 0.750 0.252
Gd2 Gd 0.489 0.250 0.752
Gd3 Gd 0.511 0.750 0.248
Gd4 Gd 0.989 0.250 0.748
Cu1 Cu 0.237 0.750 0.776
Cu2 Cu 0.263 0.250 0.276
Cu3 Cu 0.737 0.750 0.724
Cu4 Cu 0.763 0.250 0.224
Se1 Se 0.082 0.250 0.397
Se2 Se 0.418 0.750 0.897
Se3 Se 0.582 0.250 0.103
Se4 Se 0.918 0.750 0.603
S1 S 0.057 0.750 0.884
S2 S 0.241 0.250 0.675
S3 S 0.259 0.750 0.175
S4 S 0.443 0.250 0.384
S5 S 0.557 0.750 0.616
S6 S 0.741 0.250 0.825
S7 S 0.759 0.750 0.325
S8 S 0.943 0.250 0.116

=====

Calculated relative energies: #w 1.4; #x 0.0, given in kJ/mol of atoms

=====

#w
# GdScCu (PBE, optimized geometry)
# **Spin magnetization**: 0.00 μB per formula unit
data_GdScCu
_space_group_name_H-M_alt 'P 1'
_space_group_IT_number 1
_space_group_name_Hall 'P 1'
_cell_length_a 4.652
_cell_length_b 4.652
_cell_length_c 4.652
_cell_angle_alpha 60.00
_cell_angle_beta 60.00
_cell_angle_gamma 60.00
loop_
_atom_site_label
_atom_site_type_symbol
_atom_site_fract_x
_atom_site_fract_y
_atom_site_fract_z
Gd1 Gd 0.000 0.000 0.000
Sc1 Sc 0.250 0.250 0.250
Cu1 Cu 0.750 0.750 0.750

=====

#x
# GdScCu (PBE, optimized geometry)
# **Spin magnetization**: 0.01 μB per formula unit
data_GdScCu
_space_group_name_H-M_alt 'P 1'
_space_group_IT_number 1
_space_group_name_Hall 'P 1'
_cell_length_a 4.692
_cell_length_b 4.692
_cell_length_c 4.692
_cell_angle_alpha 60.00
_cell_angle_beta 60.00
_cell_angle_gamma 60.00
loop_
_atom_site_label
_atom_site_type_symbol
_atom_site_fract_x
_atom_site_fract_y
_atom_site_fract_z
Gd1 Gd 0.000 0.000 0.000
Sc1 Sc 0.500 0.500 0.500
Cu1 Cu 0.250 0.250 0.250

=====

Calculated relative energies: #w 61.2; #x 0.0, given in kJ/mol of atoms